[1]
# Pm5Ru3 | Alexandria | GGA-PBE | relaxed
data_Pm5Ru3
_space_group_name_H-M_alt 'P 4/n c c'
_space_group_IT_number 130
_cell_length_a 11.081
_cell_length_b 11.081
_cell_length_c 6.543
_cell_angle_alpha 90.00
_cell_angle_beta 90.00
_cell_angle_gamma 90.00
loop_
_space_group_symop_operation_xyz
'x,y,z'
'-x,-y,-z'
'-y+1/2,x,z'
'y+1/2,-x,-z'
'-x+1/2,-y+1/2,z'
'x+1/2,y+1/2,-z'
'y,-x+1/2,z'
'-y,x+1/2,-z'
'x+1/2,-y,-z+1/2'
'-x+1/2,y,z+1/2'
'-y,-x,-z+1/2'
'y,x,z+1/2'
'-x,y+1/2,-z+1/2'
'x,-y+1/2,z+1/2'
'y+1/2,x+1/2,-z+1/2'
'-y+1/2,-x+1/2,z+1/2'
loop_
_atom_site_label
_atom_site_type_symbol
_atom_site_fract_x
_atom_site_fract_y
_atom_site_fract_z
Pm1 Pm 0.043 0.161 0.119
Pm2 Pm 0.250 0.750 0.000
Ru1 Ru 0.098 0.598 0.750
Ru2 Ru 0.250 0.250 0.375
# Crystal system   tetragonal
# Formation enthalpy at 0 K   -22.0 kJ per mole of atoms


[2]
# Pm5Ru2 | Alexandria | GGA-PBE | relaxed
data_Pm5Ru2
_space_group_name_H-M_alt 'C 1 2/c 1'
_space_group_IT_number 15
_cell_length_a 16.347
_cell_length_b 6.556
_cell_length_c 7.361
_cell_angle_alpha 90.00
_cell_angle_beta 96.92
_cell_angle_gamma 90.00
loop_
_space_group_symop_operation_xyz
'x,y,z'
'-x,-y,-z'
'-x,y,-z+1/2'
'x,-y,z+1/2'
'x+1/2,y+1/2,z'
'-x+1/2,-y+1/2,-z'
'-x+1/2,y+1/2,-z+1/2'
'x+1/2,-y+1/2,z+1/2'
loop_
_atom_site_label
_atom_site_type_symbol
_atom_site_fract_x
_atom_site_fract_y
_atom_site_fract_z
Pm1 Pm 0.000 0.076 0.250
Pm2 Pm 0.093 0.390 0.913
Pm3 Pm 0.216 0.077 0.312
Ru1 Ru 0.111 0.213 0.575
# Crystal system   monoclinic
# Formation enthalpy at 0 K   -23.8 kJ per mole of atoms


[3]
# Pm5Ru | Alexandria | GGA-PBE | relaxed
data_Pm5Ru
_space_group_name_H-M_alt 'C m m m'
_space_group_IT_number 65
_space_group_name_Hall '-C 2 2'
_cell_length_a 3.827
_cell_length_b 16.945
_cell_length_c 5.718
_cell_angle_alpha 90.00
_cell_angle_beta 90.00
_cell_angle_gamma 90.00
loop_
_atom_site_label
_atom_site_type_symbol
_atom_site_fract_x
_atom_site_fract_y
_atom_site_fract_z
Pm1 Pm 0.000 0.000 0.000
Pm2 Pm 0.000 0.123 0.500
Pm3 Pm 0.000 0.333 0.000
Ru1 Ru 0.000 0.500 0.500
# Crystal system   orthorhombic
# Formation enthalpy at 0 K   5.5 kJ per mole of atoms


[4]
# PmRu | Alexandria | GGA-PBE | relaxed
data_PmRu
_space_group_name_H-M_alt 'C m c m'
_space_group_IT_number 63
_space_group_name_Hall '-C 2c 2'
_cell_length_a 4.460
_cell_length_b 10.227
_cell_length_c 4.339
_cell_angle_alpha 90.00
_cell_angle_beta 90.00
_cell_angle_gamma 90.00
loop_
_atom_site_label
_atom_site_type_symbol
_atom_site_fract_x
_atom_site_fract_y
_atom_site_fract_z
Pm1 Pm 0.000 0.147 0.250
Ru1 Ru 0.000 0.450 0.250
# Crystal system   orthorhombic
# Formation enthalpy at 0 K   -13.3 kJ per mole of atoms


[5]
# Pm13Ru2 | Alexandria | GGA-PBE | relaxed
data_Pm13Ru2
_space_group_name_H-M_alt 'P -1'
_space_group_IT_number 2
_cell_length_a 6.586
_cell_length_b 8.309
_cell_length_c 9.894
_cell_angle_alpha 65.47
_cell_angle_beta 84.40
_cell_angle_gamma 82.51
loop_
_space_group_symop_operation_xyz
'x,y,z'
'-x,-y,-z'
loop_
_atom_site_label
_atom_site_type_symbol
_atom_site_fract_x
_atom_site_fract_y
_atom_site_fract_z
Pm1 Pm 0.000 0.000 0.000
Pm2 Pm 0.039 0.827 0.679
Pm3 Pm 0.169 0.672 0.381
Pm4 Pm 0.232 0.551 0.058
Pm5 Pm 0.310 0.382 0.774
Pm6 Pm 0.431 0.231 0.441
Pm7 Pm 0.451 0.079 0.148
Ru1 Ru 0.193 0.110 0.709
# Crystal system   triclinic
# Formation enthalpy at 0 K   -4.0 kJ per mole of atoms


[6]
# Pm7RuS5 | Alexandria | GGA-PBE | relaxed
data_Pm7RuS5
_space_group_name_H-M_alt 'C 1 m 1'
_space_group_IT_number 8
_cell_length_a 13.276
_cell_length_b 3.973
_cell_length_c 24.254
_cell_angle_alpha 90.00
_cell_angle_beta 90.02
_cell_angle_gamma 90.00
loop_
_space_group_symop_operation_xyz
'x,y,z'
'x,-y,z'
'x+1/2,y+1/2,z'
'x+1/2,-y+1/2,z'
loop_
_atom_site_label
_atom_site_type_symbol
_atom_site_fract_x
_atom_site_fract_y
_atom_site_fract_z
Pm1 Pm 0.000 0.000 0.000
Pm2 Pm 0.000 0.000 0.141
Pm3 Pm 0.058 0.500 0.285
Pm4 Pm 0.058 0.500 0.856
Pm5 Pm 0.108 0.000 0.711
Pm6 Pm 0.109 0.000 0.430
Pm7 Pm 0.157 0.500 0.571
Pm8 Pm 0.238 0.500 0.071
Pm9 Pm 0.286 0.000 0.211
Pm10 Pm 0.286 0.000 0.930
Pm11 Pm 0.336 0.500 0.785
Pm12 Pm 0.337 0.500 0.357
Pm13 Pm 0.394 0.000 0.641
Pm14 Pm 0.395 0.000 0.500
Ru1 Ru 0.007 0.000 0.571
Ru2 Ru 0.388 0.000 0.071
S1 S 0.146 0.500 0.179
S2 S 0.146 0.500 0.963
S3 S 0.197 0.000 0.821
S4 S 0.198 0.000 0.321
S5 S 0.249 0.500 0.463
S6 S 0.249 0.500 0.679
S7 S 0.422 0.500 0.249
S8 S 0.422 0.500 0.893
S9 S 0.473 0.000 0.393
S10 S 0.473 0.000 0.749
# Crystal system   monoclinic
# Raw formation energy   -1.58 eV per atom


[7]
# Pm2RuS | Alexandria | GGA-PBE | relaxed
data_Pm2RuS
_space_group_name_H-M_alt 'P 4/m m m'
_space_group_IT_number 123
_space_group_name_Hall '-P 4 2'
_cell_length_a 3.477
_cell_length_b 3.477
_cell_length_c 7.251
_cell_angle_alpha 90.00
_cell_angle_beta 90.00
_cell_angle_gamma 90.00
loop_
_atom_site_label
_atom_site_type_symbol
_atom_site_fract_x
_atom_site_fract_y
_atom_site_fract_z
Pm1 Pm 0.000 0.000 0.242
Ru1 Ru 0.500 0.500 0.000
S1 S 0.500 0.500 0.500
# Crystal system   tetragonal
# Raw formation energy   -0.93 eV per atom


[8]
# PmRuS | Alexandria | GGA-PBE | relaxed
data_PmRuS
_space_group_name_H-M_alt 'R 3 2'
_space_group_IT_number 155
_space_group_name_Hall 'R 3 2"'
_cell_length_a 7.1708
_cell_length_b 7.1708
_cell_length_c 11.4829
_cell_angle_alpha 90.00
_cell_angle_beta 90.00
_cell_angle_gamma 120.00
loop_
_atom_site_label
_atom_site_type_symbol
_atom_site_fract_x
_atom_site_fract_y
_atom_site_fract_z
Pm1 Pm 0.0000 0.3601 0.0000
Ru1 Ru 0.0000 0.0000 0.1365
Ru2 Ru 0.0000 0.0000 0.5000
S1 S 0.0000 0.6604 0.5000
# Crystal system   trigonal
# Raw formation energy   -0.86 eV per atom


[9]
# Pm4RuSeS2 | Alexandria | GGA-PBE | relaxed
data_Pm4RuSeS2
_space_group_name_H-M_alt 'P 1 2/m 1'
_space_group_IT_number 10
_cell_length_a 7.180
_cell_length_b 4.029
_cell_length_c 7.255
_cell_angle_alpha 90.00
_cell_angle_beta 107.69
_cell_angle_gamma 90.00
loop_
_space_group_symop_operation_xyz
'x,y,z'
'-x,-y,-z'
'-x,y,-z'
'x,-y,z'
loop_
_atom_site_label
_atom_site_type_symbol
_atom_site_fract_x
_atom_site_fract_y
_atom_site_fract_z
Pm1 Pm 0.243 0.000 0.273
Pm2 Pm 0.249 0.500 0.741
Ru1 Ru 0.000 0.000 0.500
Se1 Se 0.000 0.500 0.000
S1 S 0.500 0.000 0.000
S2 S 0.500 0.500 0.500
# Crystal system   monoclinic
# Raw formation energy   -1.45 eV per atom


[10]
# Pm4RuSe2S | Alexandria | GGA-PBE | relaxed
data_Pm4RuSe2S
_space_group_name_H-M_alt 'P 1 2/m 1'
_space_group_IT_number 10
_cell_length_a 7.235
_cell_length_b 4.084
_cell_length_c 7.322
_cell_angle_alpha 90.00
_cell_angle_beta 107.78
_cell_angle_gamma 90.00
loop_
_space_group_symop_operation_xyz
'x,y,z'
'-x,-y,-z'
'-x,y,-z'
'x,-y,z'
loop_
_atom_site_label
_atom_site_type_symbol
_atom_site_fract_x
_atom_site_fract_y
_atom_site_fract_z
Pm1 Pm 0.238 0.000 0.230
Pm2 Pm 0.242 0.500 0.774
Ru1 Ru 0.000 0.500 0.000
Se1 Se 0.000 0.000 0.500
Se2 Se 0.500 0.500 0.500
S1 S 0.500 0.000 0.000
# Crystal system   monoclinic
# Raw formation energy   -1.43 eV per atom


[11]
# PmSbRu | Alexandria | GGA-PBE | relaxed
data_PmSbRu
_space_group_name_H-M_alt 'P -6 m 2'
_space_group_IT_number 187
_space_group_name_Hall 'P -6 2'
_cell_length_a 4.6154
_cell_length_b 4.6154
_cell_length_c 3.7396
_cell_angle_alpha 90.00
_cell_angle_beta 90.00
_cell_angle_gamma 120.00
loop_
_atom_site_label
_atom_site_type_symbol
_atom_site_fract_x
_atom_site_fract_y
_atom_site_fract_z
Pm1 Pm 0.0000 0.0000 0.0000
Sb1 Sb 0.3333 0.6667 0.5000
Ru1 Ru 0.6667 0.3333 0.5000
# Crystal system   hexagonal
# Offset from the most stable computed form   0.000 eV per atom
# Raw formation energy   -0.49 eV per atom


[12]
# Pm2SbRu | Alexandria | GGA-PBE | relaxed
data_Pm2SbRu
_space_group_name_H-M_alt 'P 4/m m m'
_space_group_IT_number 123
_space_group_name_Hall '-P 4 2'
_cell_length_a 3.469
_cell_length_b 3.469
_cell_length_c 8.340
_cell_angle_alpha 90.00
_cell_angle_beta 90.00
_cell_angle_gamma 90.00
loop_
_atom_site_label
_atom_site_type_symbol
_atom_site_fract_x
_atom_site_fract_y
_atom_site_fract_z
Pm1 Pm 0.000 0.000 0.208
Sb1 Sb 0.500 0.500 0.500
Ru1 Ru 0.500 0.500 0.000
# Crystal system   tetragonal
# Offset from the most stable computed form   0.000 eV per atom
# Raw formation energy   -0.51 eV per atom


[13]
# Pm5SbRu2 | Alexandria | GGA-PBE | relaxed
data_Pm5SbRu2
_space_group_name_H-M_alt 'I 4/m c m'
_space_group_IT_number 140
_space_group_name_Hall '-I 4 2c'
_cell_length_a 7.930
_cell_length_b 7.930
_cell_length_c 13.743
_cell_angle_alpha 90.00
_cell_angle_beta 90.00
_cell_angle_gamma 90.00
loop_
_atom_site_label
_atom_site_type_symbol
_atom_site_fract_x
_atom_site_fract_y
_atom_site_fract_z
Pm1 Pm 0.000 0.000 0.000
Pm2 Pm 0.158 0.342 0.135
Sb1 Sb 0.000 0.000 0.250
Ru1 Ru 0.141 0.359 0.500
# Crystal system   tetragonal
# Raw formation energy   -0.47 eV per atom


[14]
# PmSbRu | Alexandria | GGA-PBE | relaxed
data_PmSbRu
_space_group_name_H-M_alt 'P m m m'
_space_group_IT_number 47
_cell_length_a 3.493
_cell_length_b 4.378
_cell_length_c 4.803
_cell_angle_alpha 90.00
_cell_angle_beta 90.00
_cell_angle_gamma 90.00
loop_
_space_group_symop_operation_xyz
'x,y,z'
'-x,-y,-z'
'-x,-y,z'
'x,y,-z'
'x,-y,-z'
'-x,y,z'
'-x,y,-z'
'x,-y,z'
loop_
_atom_site_label
_atom_site_type_symbol
_atom_site_fract_x
_atom_site_fract_y
_atom_site_fract_z
Pm1 Pm 0.000 0.000 0.000
Sb1 Sb 0.000 0.500 0.500
Ru1 Ru 0.500 0.000 0.500
# Crystal system   orthorhombic
# Offset from the most stable computed form   0.215 eV per atom
# Raw formation energy   -0.28 eV per atom


[15]
# Pm12Sb6Ru | Alexandria | GGA-PBE | relaxed
data_Pm12Sb6Ru
_space_group_name_H-M_alt 'R -3'
_space_group_IT_number 148
_space_group_name_Hall '-R 3'
_cell_length_a 13.3589
_cell_length_b 13.3589
_cell_length_c 12.4640
_cell_angle_alpha 90.00
_cell_angle_beta 90.00
_cell_angle_gamma 120.00
loop_
_atom_site_label
_atom_site_type_symbol
_atom_site_fract_x
_atom_site_fract_y
_atom_site_fract_z
Pm1 Pm 0.0306 0.1956 0.3895
Pm2 Pm 0.0633 0.1947 0.8801
Sb1 Sb 0.0471 0.2841 0.6403
Ru1 Ru 0.0000 0.0000 0.0000
# Crystal system   trigonal
# Raw formation energy   -0.67 eV per atom


[16]
# Pm12SbRu6 | Alexandria | GGA-PBE | relaxed
data_Pm12SbRu6
_space_group_name_H-M_alt 'I m -3'
_space_group_IT_number 204
_space_group_name_Hall '-I 2 2 3'
_cell_length_a 10.106
_cell_length_b 10.106
_cell_length_c 10.106
_cell_angle_alpha 90.00
_cell_angle_beta 90.00
_cell_angle_gamma 90.00
loop_
_atom_site_label
_atom_site_type_symbol
_atom_site_fract_x
_atom_site_fract_y
_atom_site_fract_z
Pm1 Pm 0.000 0.298 0.196
Sb1 Sb 0.000 0.000 0.000
Ru1 Ru 0.000 0.121 0.500
# Crystal system   cubic
# Raw formation energy   -0.27 eV per atom


[17]
# Pm2SbRu | Alexandria | GGA-PBE | relaxed
data_Pm2SbRu
_space_group_name_H-M_alt 'F m -3 m'
_space_group_IT_number 225
_space_group_name_Hall '-F 4 2 3'
_cell_length_a 7.384
_cell_length_b 7.384
_cell_length_c 7.384
_cell_angle_alpha 90.00
_cell_angle_beta 90.00
_cell_angle_gamma 90.00
loop_
_atom_site_label
_atom_site_type_symbol
_atom_site_fract_x
_atom_site_fract_y
_atom_site_fract_z
Pm1 Pm 0.250 0.250 0.250
Sb1 Sb 0.000 0.000 0.000
Ru1 Ru 0.000 0.000 0.500
# Crystal system   cubic
# Offset from the most stable computed form   0.130 eV per atom
# Raw formation energy   -0.38 eV per atom


[18]
# PmSb3Ru3 | Alexandria | GGA-PBE | relaxed
data_PmSb3Ru3
_space_group_name_H-M_alt 'P m -3 n'
_space_group_IT_number 223
_space_group_name_Hall '-P 4n 2 3'
_cell_length_a 7.141
_cell_length_b 7.141
_cell_length_c 7.141
_cell_angle_alpha 90.00
_cell_angle_beta 90.00
_cell_angle_gamma 90.00
loop_
_atom_site_label
_atom_site_type_symbol
_atom_site_fract_x
_atom_site_fract_y
_atom_site_fract_z
Pm1 Pm 0.000 0.000 0.000
Sb1 Sb 0.000 0.250 0.500
Ru1 Ru 0.000 0.500 0.250
# Crystal system   cubic
# Raw formation energy   0.25 eV per atom


[19]
# Pm6SbRu2 | Alexandria | GGA-PBE | relaxed
data_Pm6SbRu2
_space_group_name_H-M_alt 'I m m m'
_space_group_IT_number 71
_space_group_name_Hall '-I 2 2'
_cell_length_a 9.650
_cell_length_b 9.849
_cell_length_c 10.647
_cell_angle_alpha 90.00
_cell_angle_beta 90.00
_cell_angle_gamma 90.00
loop_
_atom_site_label
_atom_site_type_symbol
_atom_site_fract_x
_atom_site_fract_y
_atom_site_fract_z
Pm1 Pm 0.000 0.205 0.237
Pm2 Pm 0.186 0.500 0.171
Pm3 Pm 0.214 0.318 0.500
Sb1 Sb 0.000 0.000 0.000
Sb2 Sb 0.000 0.000 0.500
Ru1 Ru 0.000 0.327 0.000
Ru2 Ru 0.000 0.500 0.374
# Crystal system   orthorhombic
# Raw formation energy   -0.40 eV per atom


[20]
# Pm4Sb2Ru | Alexandria | GGA-PBE | relaxed
data_Pm4Sb2Ru
_space_group_name_H-M_alt 'C 1 2/m 1'
_space_group_IT_number 12
_cell_length_a 15.501
_cell_length_b 4.418
_cell_length_c 7.469
_cell_angle_alpha 90.00
_cell_angle_beta 118.23
_cell_angle_gamma 90.00
loop_
_space_group_symop_operation_xyz
'x,y,z'
'-x,-y,-z'
'-x,y,-z'
'x,-y,z'
'x+1/2,y+1/2,z'
'-x+1/2,-y+1/2,-z'
'-x+1/2,y+1/2,-z'
'x+1/2,-y+1/2,z'
loop_
_atom_site_label
_atom_site_type_symbol
_atom_site_fract_x
_atom_site_fract_y
_atom_site_fract_z
Pm1 Pm 0.112 0.000 0.260
Pm2 Pm 0.115 0.500 0.799
Sb1 Sb 0.240 0.000 0.738
Ru1 Ru 0.000 0.500 0.000
# Crystal system   monoclinic
# Offset from the most stable computed form   0.000 eV per atom
# Raw formation energy   -0.55 eV per atom